Entry 1:
Compound: BeRePt2
Source: Alexandria
Functional: PBEsol
Structure: optimized geometry

Geometry as extended XYZ:
```
4
Lattice="2.7289 0.0000 0.0000 0.0000 4.4957 0.0000 0.0000 0.0000 4.5035" Properties=species:S:1:pos:R:3 pbc="T T T"
Be 0.0000 0.0000 0.0000
Re 1.3644 0.0000 2.2517
Pt 0.0000 2.2478 2.2517
Pt 1.3644 2.2478 0.0000
```

Values from the calculation:
**Total magnetization**: 0.000 μB per atom
**Calculated formation energy**: 0.15 eV/atom
**Total DFT energy (no corrections)**: -0.5630 Ry/atom



Entry 2:
Compound: BeRe2Pt
Source: Alexandria
Functional: PBEsol
Structure: optimized geometry

Geometry as extended XYZ:
```
4
Lattice="-1.4076 2.1407 4.3601 1.4076 -2.1407 4.3601 1.4076 2.1407 -4.3601" Properties=species:S:1:pos:R:3 pbc="T T T"
Be 0.0000 0.0000 0.0000
Re 1.4076 0.0000 1.9243
Re 0.0000 2.1407 2.4357
Pt 0.0000 0.0000 4.3601
```

Values from the calculation:
**Total magnetization**: 0.000 μB per atom
**Calculated formation energy**: 0.00 eV/atom
**Total DFT energy (no corrections)**: -0.6917 Ry/atom



Entry 3:
Compound: Be4RePt
Source: Alexandria
Functional: PBEsol
Structure: optimized geometry

Geometry as extended XYZ:
```
6
Lattice="0.0000 3.0991 3.0991 3.0991 0.0000 3.0991 3.0991 3.0991 0.0000" Properties=species:S:1:pos:R:3 pbc="T T T"
Be 0.7581 0.7581 0.7581
Be 2.3410 2.3410 0.7581
Be 2.3410 0.7581 2.3410
Be 0.7581 2.3410 2.3410
Re 4.6487 4.6487 4.6487
Pt 3.0991 3.0991 3.0991
```

Values from the calculation:
**Total magnetization**: 0.000 μB per atom
**Calculated formation energy**: -0.22 eV/atom
**Total DFT energy (no corrections)**: -0.4610 Ry/atom



Entry 4:
Compound: BeRe2Pt
Source: Alexandria
Functional: PBEsol
Structure: optimized geometry

Geometry as extended XYZ:
```
4
Lattice="3.5934 0.0000 0.0000 0.0000 3.5934 0.0000 0.0000 0.0000 4.2108" Properties=species:S:1:pos:R:3 pbc="T T T"
Be 0.0000 0.0000 0.0000
Re 0.0000 1.7967 2.1054
Re 1.7967 0.0000 2.1054
Pt 1.7967 1.7967 0.0000
```

Values from the calculation:
**Total magnetization**: 0.000 μB per atom
**Calculated formation energy**: 0.10 eV/atom
**Total DFT energy (no corrections)**: -0.6839 Ry/atom



Entry 5:
Compound: Be2RePt
Source: Alexandria
Functional: PBEsol
Structure: optimized geometry

Geometry as extended XYZ:
```
4
Lattice="2.7490 0.0000 0.0000 0.0000 2.7490 0.0000 0.0000 0.0000 5.9278" Properties=species:S:1:pos:R:3 pbc="T T T"
Be 0.0000 0.0000 0.0000
Be 1.3745 1.3745 1.0583
Re 1.3745 1.3745 4.4773
Pt 0.0000 0.0000 2.4569
```

Values from the calculation:
**Total magnetization**: 0.000 μB per atom
**Calculated formation energy**: -0.22 eV/atom
**Total DFT energy (no corrections)**: -0.5359 Ry/atom



Entry 6:
Compound: Be2PtRh
Source: Alexandria
Functional: PBEsol
Structure: optimized geometry

Geometry as extended XYZ:
```
4
Lattice="0.0000 2.7776 2.7776 2.7776 0.0000 2.7776 2.7776 2.7776 0.0000" Properties=species:S:1:pos:R:3 pbc="T T T"
Be 1.3888 1.3888 1.3888
Be 4.1663 4.1663 4.1663
Pt 0.0000 0.0000 0.0000
Rh 2.7776 2.7776 2.7776
```

Values from the calculation:
**Total magnetization**: 0.000 μB per atom
**Calculated formation energy**: -0.78 eV/atom
**Total DFT energy (no corrections)**: -0.4821 Ry/atom



Entry 7:
Compound: Be2PtRh
Source: Alexandria
Functional: PBEsol
Structure: optimized geometry

Geometry as extended XYZ:
```
4
Lattice="3.6160 -1.3652 0.0000 3.6160 1.3652 0.0000 -1.0105 0.0000 4.6373" Properties=species:S:1:pos:R:3 pbc="T T T"
Be 1.5579 0.0000 1.1059
Be 4.6637 0.0000 3.5314
Pt -0.5052 0.0000 2.3186
Rh 3.6160 0.0000 0.0000
```

Values from the calculation:
**Total magnetization**: 0.000 μB per atom
**Calculated formation energy**: -0.43 eV/atom
**Total DFT energy (no corrections)**: -0.4559 Ry/atom



Entry 8:
Compound: BePtRh3
Source: Alexandria
Functional: PBEsol
Structure: optimized geometry

Geometry as extended XYZ:
```
5
Lattice="4.0421 0.0000 0.0000 0.0000 4.0421 0.0000 0.0000 0.0000 4.0421" Properties=species:S:1:pos:R:3 pbc="T T T"
Be 0.0000 0.0000 0.0000
Pt 2.0211 2.0211 2.0211
Rh 0.0000 0.0000 2.0211
Rh 0.0000 2.0211 0.0000
Rh 2.0211 0.0000 0.0000
```

Values from the calculation:
**Total magnetization**: 0.008 μB per atom
**Calculated formation energy**: 0.33 eV/atom
**Total DFT energy (no corrections)**: -0.4959 Ry/atom



Entry 9:
Compound: BePtRh
Source: Alexandria
Functional: PBEsol
Structure: optimized geometry

Geometry as extended XYZ:
```
3
Lattice="-1.3666 1.3666 4.7974 1.3666 -1.3666 4.7974 1.3666 1.3666 -4.7974" Properties=species:S:1:pos:R:3 pbc="T T T"
Be 0.0000 0.0000 0.0000
Pt 0.0000 0.0000 6.2282
Rh 0.0000 0.0000 3.4393
```

Values from the calculation:
**Total magnetization**: 0.000 μB per atom
**Calculated formation energy**: -0.45 eV/atom
**Total DFT energy (no corrections)**: -0.5010 Ry/atom



Entry 10:
Compound: Be2PtRh
Source: Alexandria
Functional: PBEsol
Structure: optimized geometry

Geometry as extended XYZ:
```
4
Lattice="3.9239 0.0000 0.0000 0.0000 3.9239 0.0000 0.0000 0.0000 2.7829" Properties=species:S:1:pos:R:3 pbc="T T T"
Be 0.0000 1.9620 0.0000
Be 1.9620 0.0000 0.0000
Pt 0.0000 0.0000 1.3915
Rh 1.9620 1.9620 1.3915
```

Values from the calculation:
**Total magnetization**: 0.000 μB per atom
**Calculated formation energy**: -0.76 eV/atom
**Total DFT energy (no corrections)**: -0.4806 Ry/atom



Entry 11:
Compound: BeSnPtRh2
Source: Alexandria
Functional: PBEsol
Structure: optimized geometry

Geometry as extended XYZ:
```
5
Lattice="4.7415 0.0000 0.0000 0.0000 4.7415 0.0000 0.0000 0.0000 4.7920" Properties=species:S:1:pos:R:3 pbc="T T T"
Be 0.0000 0.0000 0.0000
Sn 2.3708 2.3708 2.3960
Pt 2.3708 2.3708 0.0000
Rh 0.0000 2.3708 2.3960
Rh 2.3708 0.0000 2.3960
```

Values from the calculation:
**Total magnetization**: 0.000 μB per atom
**Calculated formation energy**: 1.46 eV/atom
**Total DFT energy (no corrections)**: -0.3558 Ry/atom



Entry 12:
Compound: Sc2BePtS
Source: Alexandria
Functional: PBEsol
Structure: optimized geometry

Geometry as extended XYZ:
```
5
Lattice="5.0227 0.0000 0.0000 0.0000 5.0227 0.0000 0.0000 0.0000 4.5732" Properties=species:S:1:pos:R:3 pbc="T T T"
Sc 0.0000 2.5113 0.0000
Sc 2.5113 0.0000 0.0000
Be 0.0000 0.0000 2.2866
Pt 2.5113 2.5113 0.0000
S 2.5113 2.5113 2.2866
```

Values from the calculation:
**Energy relative to the elements, uncorrected**: 0.33 eV per atom
**Total magnetization**: 0.000 μB per atom
**Total DFT energy (no corrections)**: -0.3958 Ry/atom



Entry 13:
Compound: BeSbPt
Source: Alexandria
Functional: PBEsol
Structure: optimized geometry

Geometry as extended XYZ:
```
3
Lattice="-1.5252 1.5252 5.3313 1.5252 -1.5252 5.3313 1.5252 1.5252 -5.3313" Properties=species:S:1:pos:R:3 pbc="T T T"
Be 0.0000 0.0000 0.0000
Sb 0.0000 0.0000 3.1678
Pt 0.0000 0.0000 6.1521
```

Values from the calculation:
**Energy relative to the elements, uncorrected**: -0.10 eV per atom
**Total magnetization**: 0.000 μB per atom
**Total DFT energy (no corrections)**: -0.3879 Ry/atom



Entry 14:
Compound: BeSb2Pt
Source: Alexandria
Functional: PBEsol
Structure: optimized geometry

Geometry as extended XYZ:
```
4
Lattice="3.0068 0.0000 0.0000 0.0000 3.5326 0.0000 0.0000 0.0000 6.9962" Properties=species:S:1:pos:R:3 pbc="T T T"
Be 0.0000 0.0000 0.0000
Sb 1.5034 1.7663 1.7300
Sb 1.5034 1.7663 5.2662
Pt 0.0000 0.0000 3.4981
```

Values from the calculation:
**Energy relative to the elements, uncorrected**: 0.28 eV per atom
**Total magnetization**: 0.000 μB per atom
**Total DFT energy (no corrections)**: -0.3483 Ry/atom



Entry 15:
Compound: BeSb2Pt
Source: Alexandria
Functional: PBEsol
Structure: optimized geometry

Geometry as extended XYZ:
```
8
Lattice="-2.9643 2.9643 5.3461 2.9643 -2.9643 5.3461 2.9643 2.9643 -5.3461" Properties=species:S:1:pos:R:3 pbc="T T T"
Be 0.0000 0.0000 0.0000
Be 0.0000 2.9643 2.6731
Sb 4.4464 1.3391 -1.3365
Sb 1.3391 1.4821 1.3365
Sb -1.4821 1.6252 4.0096
Sb 1.6252 1.4821 6.6827
Pt 2.9643 0.0000 2.6731
Pt 0.0000 0.0000 5.3461
```

Values from the calculation:
**Energy relative to the elements, uncorrected**: 0.16 eV per atom
**Total magnetization**: 0.000 μB per atom
**Total DFT energy (no corrections)**: -0.3575 Ry/atom



Entry 16:
Compound: BeSb2Pt
Source: Alexandria
Functional: PBEsol
Structure: optimized geometry

Geometry as extended XYZ:
```
4
Lattice="-1.6120 1.8176 6.6530 1.6120 -1.8176 6.6530 1.6120 1.8176 -6.6530" Properties=species:S:1:pos:R:3 pbc="T T T"
Be 0.0000 0.0000 0.0000
Sb 1.6120 0.0000 2.0818
Sb 0.0000 1.8176 4.5712
Pt 0.0000 0.0000 6.6530
```

Values from the calculation:
**Energy relative to the elements, uncorrected**: -0.12 eV per atom
**Total magnetization**: 0.000 μB per atom
**Total DFT energy (no corrections)**: -0.3781 Ry/atom



Entry 17:
Compound: BeSbTe2Pt
Source: Alexandria
Functional: PBEsol
Structure: optimized geometry

Geometry as extended XYZ:
```
5
Lattice="4.8113 0.0000 0.0000 0.0000 4.8113 0.0000 0.0000 0.0000 4.6333" Properties=species:S:1:pos:R:3 pbc="T T T"
Be 0.0000 0.0000 0.0000
Sb 0.0000 0.0000 2.3166
Te 0.0000 2.4056 0.0000
Te 2.4056 0.0000 0.0000
Pt 2.4056 2.4056 2.3166
```

Values from the calculation:
**Energy relative to the elements, uncorrected**: 0.67 eV per atom
**Total magnetization**: 0.000 μB per atom
**Total DFT energy (no corrections)**: -0.2829 Ry/atom



Entry 18:
Compound: ScBe2Pt
Source: Alexandria
Functional: PBEsol
Structure: optimized geometry

Geometry as extended XYZ:
```
8
Lattice="-2.0044 2.0044 7.8691 2.0044 -2.0044 7.8691 2.0044 2.0044 -7.8691" Properties=species:S:1:pos:R:3 pbc="T T T"
Sc 2.0044 1.0022 1.9673
Sc 0.0000 1.0022 5.9018
Be 0.0000 0.0000 0.0000
Be 1.0022 1.0022 -3.9346
Be 1.0022 -1.0022 3.9346
Be 0.0000 2.0044 0.0000
Pt 2.0044 -1.0022 5.9018
Pt 0.0000 3.0066 1.9673
```

Values from the calculation:
**Energy relative to the lowest polymorph listed for this composition**: 1.784 eV/f.u.
**Total magnetization**: 0.000 μB per atom
**Calculated formation energy**: -0.21 eV/atom
**Total DFT energy (no corrections)**: -0.4121 Ry/atom



Entry 19:
Compound: ScBePt2
Source: Alexandria
Functional: PBEsol
Structure: optimized geometry

Geometry as extended XYZ:
```
4
Lattice="0.0000 3.0732 3.0732 3.0732 0.0000 3.0732 3.0732 3.0732 0.0000" Properties=species:S:1:pos:R:3 pbc="T T T"
Sc 0.0000 0.0000 0.0000
Be 3.0732 3.0732 3.0732
Pt 1.5366 1.5366 1.5366
Pt 4.6098 4.6098 4.6098
```

Values from the calculation:
**Energy relative to the lowest polymorph listed for this composition**: 0.513 eV/f.u.
**Total magnetization**: 0.000 μB per atom
**Calculated formation energy**: -0.81 eV/atom
**Total DFT energy (no corrections)**: -0.5105 Ry/atom



Entry 20:
Compound: ScBe2Pt2
Source: Alexandria
Functional: PBEsol
Structure: optimized geometry

Geometry as extended XYZ:
```
5
Lattice="-1.7015 1.7015 6.0152 1.7015 -1.7015 6.0152 1.7015 1.7015 -6.0152" Properties=species:S:1:pos:R:3 pbc="T T T"
Sc 0.0000 0.0000 0.0000
Be 1.7015 0.0000 3.0076
Be 0.0000 1.7015 3.0076
Pt 0.0000 0.0000 4.6093
Pt 0.0000 0.0000 7.4211
```

Values from the calculation:
**Energy relative to the lowest polymorph listed for this composition**: 0.262 eV/f.u.
**Total magnetization**: 0.000 μB per atom
**Calculated formation energy**: -0.77 eV/atom
**Total DFT energy (no corrections)**: -0.4761 Ry/atom